(1)
First-principles (PBE) data for an optimized crystal structure of Rb2LaInSe4, as listed in the Alexandria database.

Summary:
ΔE_f (raw) ... -1236 meV per atom
Space group ... No. 74
Total magnetization ... 0.0 μB per formula unit

Geometry as POSCAR:
```
Rb2LaInSe4
1.0
-4.366 4.580 6.427
4.366 -4.580 6.427
4.366 4.580 -6.427
Rb La In Se
4 2 2 8
direct
0.000 0.000 0.000
0.500 0.000 0.000
0.500 0.000 0.500
0.500 0.500 0.500
0.000 0.500 0.500
0.500 0.500 0.000
0.000 0.000 0.500
0.000 0.500 0.000
0.194 0.740 0.454
0.214 0.260 0.954
0.232 0.259 0.526
0.232 0.706 0.974
0.768 0.294 0.026
0.768 0.741 0.474
0.786 0.740 0.046
0.806 0.260 0.546
```

---

(2)
First-principles (PBE) data for an optimized crystal structure of Y2ZrCuH, as listed in the Alexandria database.

Summary:
Space group ... No. 123
Total DFT energy (no corrections) ... -4.59 eV/atom
Total magnetization ... 0.0 μB per formula unit
N(E_F) ... 4.585 states/eV/cell

Geometry as POSCAR:
```
Y2ZrCuH
1.0
5.643 0.000 0.000
0.000 5.643 0.000
0.000 0.000 4.670
Y Zr Cu H
2 1 1 1
direct
0.000 0.500 0.000
0.500 0.000 0.000
0.000 0.000 0.000
0.000 0.000 0.500
0.500 0.500 0.500
```

---

(3)
First-principles (PBE) data for an optimized crystal structure of Zr2CdTe, as listed in the Alexandria database.

Summary:
ΔE_f (raw) ... -295 meV per atom
Space group ... No. 99
Offset from the most stable computed form ... 0.51 kcal/mol of atoms
Total magnetization ... 0.0 μB per formula unit
N(E_F) ... 4.763 states/eV/cell

Geometry as POSCAR:
```
Zr2CdTe
1.0
3.876 0.000 0.000
0.000 3.876 0.000
0.000 0.000 6.210
Zr Cd Te
2 1 1
direct
0.000 0.000 0.000
0.500 0.500 0.262
0.000 0.000 0.477
0.500 0.500 0.778
```

---

Question: total magnetization of number 1 (Rb2LaInSe4)?
Answer: 0.0 μB per formula unit